<A>
Tb6Pm3Er | GGA-PBE | optimized geometry

a b c (Å): 8.565 9.372 6.397
angles (deg): 139.09 88.40 93.63
Atoms (fractional coordinates):
Tb  0.130  0.533  0.802
Tb  0.254  0.049  0.511
Tb  0.870  0.467  0.198
Tb  0.588  0.773  0.816
Tb  0.746  0.951  0.489
Tb  0.412  0.227  0.184
Pm  0.237  0.655  0.453
Pm  0.000  0.000  0.000
Pm  0.763  0.345  0.547
Er  0.500  0.500  0.000

* D(E_F): 14.28 states/eV/f.u.

=====

<B>
Tb6Pm3Er | GGA-PBE | optimized geometry

a b c (Å): 6.362 10.942 10.942
angles (deg): 120.06 90.00 90.00
Atoms (fractional coordinates):
Tb  0.868  0.471  0.052
Tb  0.874  0.039  0.961
Tb  0.149  0.726  0.274
Tb  0.868  0.948  0.529
Tb  0.050  0.713  0.623
Tb  0.550  0.287  0.377
Tb  0.649  0.274  0.726
Tb  0.374  0.961  0.039
Tb  0.050  0.377  0.287
Tb  0.550  0.623  0.713
Tb  0.368  0.052  0.471
Tb  0.368  0.529  0.948
Pm  0.573  0.612  0.388
Pm  0.463  0.939  0.712
Pm  0.963  0.061  0.288
Pm  0.463  0.288  0.061
Pm  0.073  0.388  0.612
Pm  0.963  0.712  0.939
Er  0.128  0.196  0.804
Er  0.628  0.804  0.196

* D(E_F): 13.43 states/eV/f.u.

=====

Which one sits at the top of the stability order? <B> does.

=====

<A>
Tb2Pm8Er3 | GGA-PBE | optimized geometry

a b c (Å): 5.682 7.710 10.879
angles (deg): 110.75 90.04 90.00
Atoms (fractional coordinates):
Er  0.000  0.713  0.000
Er  0.500  0.000  0.000
Er  0.000  0.287  0.000
Pm  0.001  0.870  0.739
Pm  0.999  0.130  0.261
Pm  0.500  0.190  0.789
Pm  0.500  0.810  0.211
Pm  0.500  0.599  0.789
Pm  0.001  0.672  0.344
Pm  0.500  0.401  0.211
Pm  0.999  0.328  0.656
Tb  0.499  0.240  0.479
Tb  0.501  0.760  0.521

* D(E_F): 19.07 states/eV/f.u.

=====

<B>
Tb2Pm8Er3 | GGA-PBE | optimized geometry

a b c (Å): 9.534 6.245 9.524
angles (deg): 96.26 106.54 123.11
Atoms (fractional coordinates):
Er  0.039  0.770  0.924
Er  0.500  0.000  0.000
Er  0.961  0.230  0.076
Pm  0.655  0.079  0.694
Pm  0.808  0.153  0.383
Pm  0.192  0.847  0.617
Pm  0.345  0.921  0.306
Pm  0.115  0.309  0.771
Pm  0.579  0.542  0.847
Pm  0.421  0.458  0.153
Pm  0.885  0.691  0.229
Tb  0.269  0.385  0.460
Tb  0.731  0.615  0.540

* D(E_F): 17.58 states/eV/f.u.

=====

Which one sits at the top of the stability order? <B> does.

=====

<A>
Tb5Pm2Er3 | GGA-PBE | optimized geometry

a b c (Å): 9.408 9.469 11.119
angles (deg): 125.38 125.25 68.78
Atoms (fractional coordinates):
Er  0.991  0.222  0.761
Er  0.009  0.778  0.239
Er  0.774  0.024  0.048
Er  0.226  0.976  0.952
Er  0.731  0.461  0.239
Er  0.269  0.539  0.761
Tb  0.720  0.470  0.940
Tb  0.280  0.530  0.060
Tb  0.131  0.387  0.233
Tb  0.018  0.768  0.536
Tb  0.982  0.232  0.464
Tb  0.477  0.727  0.454
Tb  0.523  0.273  0.546
Tb  0.869  0.613  0.767
Tb  0.602  0.846  0.233
Tb  0.398  0.154  0.767
Pm  0.532  0.266  0.251
Pm  0.781  0.015  0.749
Pm  0.219  0.985  0.251
Pm  0.468  0.734  0.749

* D(E_F): 18.44 states/eV/f.u.

=====

<B>
Tb5Pm2Er3 | GGA-PBE | optimized geometry

a b c (Å): 6.785 12.282 12.282
angles (deg): 44.74 73.97 73.97
Atoms (fractional coordinates):
Er  0.876  0.874  0.373
Er  0.750  0.000  0.000
Er  0.124  0.126  0.627
Er  0.250  0.000  0.000
Er  0.624  0.627  0.126
Er  0.376  0.373  0.874
Tb  0.250  0.500  0.500
Tb  0.500  0.250  0.250
Tb  0.000  0.250  0.250
Tb  0.375  0.716  0.534
Tb  0.750  0.500  0.500
Tb  0.625  0.284  0.466
Tb  0.000  0.750  0.750
Tb  0.125  0.466  0.284
Tb  0.875  0.534  0.716
Tb  0.500  0.750  0.750
Pm  0.376  0.024  0.225
Pm  0.876  0.225  0.024
Pm  0.624  0.976  0.775
Pm  0.124  0.775  0.976

* D(E_F): 14.88 states/eV/f.u.

=====

Which one sits at the top of the stability order? <A> does.

=====

<A>
TbPmErTh | GGA-PBE | optimized geometry

a b c (Å): 3.595 3.594 11.716
angles (deg): 90.01 98.84 119.99
Atoms (fractional coordinates):
Th  0.303  0.549  0.868
Pm  0.969  0.383  0.367
Tb  0.474  0.135  0.624
Er  0.132  0.964  0.111

* D(E_F): 5.98 states/eV/f.u.

=====

<B>
TbPmErTh | GGA-PBE | optimized geometry

a b c (Å): 5.690 5.690 5.690
angles (deg): 60.00 60.00 60.00
Atoms (fractional coordinates):
Pm  0.750  0.750  0.750
Tb  0.000  0.000  0.000
Er  0.250  0.250  0.250
Th  0.500  0.500  0.500

* D(E_F): 8.48 states/eV/f.u.

=====

Which one sits at the top of the stability order? <A> does.

=====

<A>
TbPmErZn | GGA-PBE | optimized geometry

a b c (Å): 3.577 3.577 8.681
angles (deg): 90.00 90.00 90.00
Atoms (fractional coordinates):
Er  0.500  0.500  0.369
Zn  0.000  0.000  0.566
Tb  0.500  0.500  0.775
Pm  0.000  0.000  0.074

* D(E_F): 4.70 states/eV/f.u.

=====

<B>
TbPmErZn | GGA-PBE | optimized geometry

a b c (Å): 5.367 5.367 5.367
angles (deg): 60.00 60.00 60.00
Atoms (fractional coordinates):
Er  0.500  0.500  0.500
Tb  0.750  0.750  0.750
Pm  0.250  0.250  0.250
Zn  0.000  0.000  0.000

* D(E_F): 4.89 states/eV/f.u.

=====

Which one sits at the top of the stability order? <A> does.

=====

<A>
PmEr2Tc | GGA-PBE | optimized geometry

a b c (Å): 6.304 7.488 9.100
angles (deg): 90.00 90.00 90.00
Atoms (fractional coordinates):
Tc  0.046  0.384  0.250
Tc  0.954  0.616  0.750
Tc  0.546  0.116  0.750
Tc  0.454  0.884  0.250
Er  0.343  0.175  0.436
Er  0.657  0.825  0.936
Er  0.843  0.325  0.564
Er  0.843  0.325  0.936
Er  0.657  0.825  0.564
Er  0.157  0.675  0.064
Er  0.343  0.175  0.064
Er  0.157  0.675  0.436
Pm  0.875  0.042  0.250
Pm  0.625  0.542  0.250
Pm  0.125  0.958  0.750
Pm  0.375  0.458  0.750

* D(E_F): 3.34 states/eV/f.u.

=====

<B>
PmEr2Tc | GGA-PBE | optimized geometry

a b c (Å): 3.433 3.433 9.036
angles (deg): 90.00 90.00 90.00
Atoms (fractional coordinates):
Er  0.000  0.000  0.819
Er  0.000  0.000  0.181
Tc  0.500  0.500  0.000
Pm  0.500  0.500  0.500

* D(E_F): 6.96 states/eV/f.u.

=====

Which one sits at the top of the stability order? <A> does.

=====

<A>
Pm2ErTc | GGA-PBE | optimized geometry

a b c (Å): 3.531 3.531 8.774
angles (deg): 90.00 90.00 90.00
Atoms (fractional coordinates):
Tc  0.500  0.500  0.000
Er  0.500  0.500  0.500
Pm  0.000  0.000  0.806
Pm  0.000  0.000  0.194

* D(E_F): 5.59 states/eV/f.u.

=====

<B>
Pm2ErTc | GGA-PBE | optimized geometry

a b c (Å): 6.372 7.429 9.451
angles (deg): 90.00 90.00 90.00
Atoms (fractional coordinates):
Er  0.364  0.454  0.750
Er  0.136  0.954  0.750
Er  0.636  0.546  0.250
Er  0.864  0.046  0.250
Pm  0.666  0.822  0.564
Pm  0.834  0.322  0.936
Pm  0.166  0.678  0.436
Pm  0.666  0.822  0.936
Pm  0.334  0.178  0.436
Pm  0.834  0.322  0.564
Pm  0.166  0.678  0.064
Pm  0.334  0.178  0.064
Tc  0.534  0.110  0.750
Tc  0.034  0.390  0.250
Tc  0.966  0.610  0.750
Tc  0.466  0.890  0.250

* D(E_F): 3.26 states/eV/f.u.

=====

<C>
Pm2ErTc | GGA-PBE | optimized geometry

a b c (Å): 3.469 3.469 11.157
angles (deg): 81.06 81.06 60.00
Atoms (fractional coordinates):
Pm  0.104  0.104  0.689
Pm  0.896  0.896  0.311
Tc  0.500  0.500  0.500
Er  0.000  0.000  0.000

* D(E_F): 4.88 states/eV/f.u.

=====

Which one sits at the top of the stability order? <B> does.

=====

<A>
PmErTe2 | GGA-PBE | optimized geometry

a b c (Å): 4.350 4.350 7.736
angles (deg): 73.67 73.67 60.00
Atoms (fractional coordinates):
Te  0.754  0.754  0.737
Te  0.246  0.246  0.263
Er  0.500  0.500  0.500
Pm  0.000  0.000  0.000

* D(E_F): 2.30 states/eV/f.u.

=====

<B>
PmErTe2 | GGA-PBE | optimized geometry

a b c (Å): 4.265 4.265 8.027
angles (deg): 74.59 74.59 60.00
Atoms (fractional coordinates):
Te  0.254  0.254  0.237
Te  0.079  0.079  0.763
Er  0.670  0.670  0.989
Pm  0.496  0.496  0.511

* D(E_F): 1.33 states/eV/f.u.

=====

Which one sits at the top of the stability order? <B> does.

=====

<A>
PmErTe2 | GGA-PBE | optimized geometry

a b c (Å): 3.807 5.383 5.383
angles (deg): 90.00 90.00 90.00
Last column: magnetic moment on the atom in μB.
Atoms (fractional coordinates):
Er  0.500  0.000  0.000  0.25
Pm  0.500  0.500  0.500  0.17
Te  0.000  0.500  0.000  -0.01
Te  0.000  0.000  0.500  -0.01

* D(E_F): 3.48 states/eV/f.u.

=====

<B>
PmErTe2 | GGA-PBE | optimized geometry

a b c (Å): 4.508 6.913 9.800
angles (deg): 89.99 90.00 89.97
Atoms (fractional coordinates):
Er  0.701  0.288  0.436
Er  0.201  0.788  0.780
Te  0.701  0.539  0.695
Te  0.201  0.039  0.521
Te  0.701  0.662  0.290
Te  0.201  0.162  0.926
Pm  0.201  0.944  0.194
Pm  0.701  0.444  0.022

* D(E_F): 1.96 states/eV/f.u.

=====

<C>
PmErTe2 | GGA-PBE | optimized geometry

a b c (Å): 5.388 5.388 5.388
angles (deg): 60.00 60.00 60.00
Last column: magnetic moment on the atom in μB.
Atoms (fractional coordinates):
Pm  0.500  0.500  0.500  0.31
Er  0.000  0.000  0.000  0.38
Te  0.750  0.750  0.750  -0.01
Te  0.250  0.250  0.250  -0.01

* D(E_F): 3.04 states/eV/f.u.

=====

Which one sits at the top of the stability order? <A> does.

=====

<A>
Pm2ErTe4 | GGA-PBE | optimized geometry

a b c (Å): 8.822 8.741 8.741
angles (deg): 60.51 59.69 59.69
Atoms (fractional coordinates):
Te  0.739  0.754  0.768
Te  0.739  0.254  0.754
Te  0.747  0.746  0.246
Te  0.261  0.246  0.232
Te  0.253  0.254  0.754
Te  0.739  0.268  0.254
Te  0.261  0.746  0.246
Te  0.261  0.732  0.746
Pm  0.500  0.000  0.500
Pm  0.000  0.000  0.000
Pm  0.000  0.000  0.500
Pm  0.000  0.500  0.500
Er  0.000  0.500  0.000
Er  0.500  0.500  0.000

* D(E_F): 2.00 states/eV/f.u.

=====

<B>
Pm2ErTe4 | GGA-PBE | optimized geometry

a b c (Å): 4.259 7.629 15.202
angles (deg): 90.00 90.00 106.21
Atoms (fractional coordinates):
Pm  0.868  0.737  0.929
Pm  0.868  0.737  0.571
Pm  0.132  0.263  0.071
Pm  0.132  0.263  0.429
Te  0.782  0.565  0.126
Te  0.782  0.565  0.374
Te  0.218  0.435  0.626
Te  0.500  0.000  0.000
Te  0.024  0.048  0.250
Te  0.976  0.952  0.750
Te  0.218  0.435  0.874
Te  0.500  0.000  0.500
Er  0.628  0.256  0.750
Er  0.372  0.744  0.250

* D(E_F): 2.76 states/eV/f.u.

=====

Which one sits at the top of the stability order? <A> does.